Record 1
The following is a DFT calculation (PBE) of ReSiAg2 after structural relaxation.

abc: 2.796 4.808 9.737
angles: 90.00 90.00 90.00
Fractional positions:
Re  0.000  0.000  0.000
Re  0.500  0.500  0.000
Si  0.000  0.000  0.500
Si  0.500  0.500  0.500
Ag  0.000  0.500  0.257
Ag  0.000  0.500  0.743
Ag  0.500  0.000  0.257
Ag  0.500  0.000  0.743

SG: No. 65
DOS at the Fermi energy: 3.86 states/eV/cell
uncorrected formation energy: 219 kJ/mol of formula units

=====

Record 2
The following is a DFT calculation (PBE) of ReSi4Ag after structural relaxation.

abc: 4.961 4.961 4.961
angles: 60.00 60.00 60.00
Fractional positions:
Re  0.000  0.000  0.000
Si  0.122  0.626  0.626
Si  0.626  0.122  0.626
Si  0.626  0.626  0.122
Si  0.626  0.626  0.626
Ag  0.250  0.250  0.250

SG: No. 216
DOS at the Fermi energy: 5.69 states/eV/cell
uncorrected formation energy: 378 kJ/mol of formula units

=====

Record 3
The following is a DFT calculation (PBE) of ReSiAg2 after structural relaxation.

abc: 2.689 2.689 9.066
angles: 90.00 90.00 90.00
Fractional positions:
Re  0.000  0.000  0.000
Si  0.000  0.000  0.500
Ag  0.500  0.500  0.251
Ag  0.500  0.500  0.749

SG: No. 123
DOS at the Fermi energy: 1.62 states/eV/cell
uncorrected formation energy: 222 kJ/mol of formula units

=====

Record 4
The following is a DFT calculation (PBE) of ReSi2Ag after structural relaxation.

abc: 5.761 8.305 2.892
angles: 90.00 116.30 90.00
Fractional positions:
Re  0.000  0.000  0.000
Re  0.500  0.500  0.000
Si  0.250  0.250  0.000
Si  0.250  0.750  0.000
Si  0.750  0.250  0.000
Si  0.750  0.750  0.000
Ag  0.000  0.500  0.000
Ag  0.500  0.000  0.000

offset from the most stable computed form: 0.391 eV/atom
SG: No. 12
DOS at the Fermi energy: 4.68 states/eV/cell
uncorrected formation energy: 185 kJ/mol of formula units

=====

Record 5
The following is a DFT calculation (PBE) of ReSiAg3 after structural relaxation.

abc: 5.054 5.054 5.054
angles: 90.00 90.00 90.00
Fractional positions:
Re  0.000  0.000  0.000
Si  0.500  0.500  0.500
Ag  0.000  0.000  0.500
Ag  0.000  0.500  0.000
Ag  0.500  0.000  0.000

offset from the most stable computed form: 0.530 eV/atom
SG: No. 221
DOS at the Fermi energy: 4.89 states/eV/cell
uncorrected formation energy: 923 kJ/mol of formula units

=====

Record 6
The following is a DFT calculation (PBE) of ReSi2Ag after structural relaxation.

abc: 8.683 3.220 4.427
angles: 90.00 105.49 90.00
Fractional positions:
Re  0.000  0.000  0.000
Re  0.500  0.500  0.000
Si  0.223  0.500  0.075
Si  0.481  0.000  0.427
Si  0.723  0.000  0.075
Si  0.981  0.500  0.427
Ag  0.233  0.000  0.606
Ag  0.733  0.500  0.606

offset from the most stable computed form: 0.054 eV/atom
SG: No. 8
DOS at the Fermi energy: 1.25 states/eV/cell
uncorrected formation energy: 55 kJ/mol of formula units

=====

Record 7
The following is a DFT calculation (PBE) of ReSi2Ag after structural relaxation.

abc: 6.179 6.179 6.179
angles: 90.00 90.00 90.00
Fractional positions:
Re  0.000  0.000  0.000
Re  0.000  0.500  0.500
Re  0.500  0.000  0.500
Re  0.500  0.500  0.000
Si  0.250  0.250  0.250
Si  0.250  0.250  0.750
Si  0.250  0.750  0.250
Si  0.250  0.750  0.750
Si  0.750  0.250  0.250
Si  0.750  0.250  0.750
Si  0.750  0.750  0.250
Si  0.750  0.750  0.750
Ag  0.000  0.000  0.500
Ag  0.000  0.500  0.000
Ag  0.500  0.000  0.000
Ag  0.500  0.500  0.500

offset from the most stable computed form: 0.353 eV/atom
SG: No. 225
DOS at the Fermi energy: 10.77 states/eV/cell
uncorrected formation energy: 171 kJ/mol of formula units

=====

Record 8
The following is a DFT calculation (PBE) of ReSi2Ag after structural relaxation.

abc: 3.732 3.732 8.420
angles: 90.00 90.00 90.00
Fractional positions:
Re  0.000  0.000  0.000
Re  0.500  0.500  0.500
Si  0.000  0.000  0.500
Si  0.000  0.500  0.750
Si  0.500  0.000  0.250
Si  0.500  0.500  0.000
Ag  0.000  0.500  0.250
Ag  0.500  0.000  0.750

offset from the most stable computed form: 0.346 eV/atom
SG: No. 119
DOS at the Fermi energy: 5.12 states/eV/cell
uncorrected formation energy: 168 kJ/mol of formula units

=====

Record 9
The following is a DFT calculation (PBE) of ReSiAg2 after structural relaxation.

abc: 3.078 4.684 9.035
angles: 90.00 90.00 90.00
Fractional positions:
Re  0.000  0.000  0.000
Re  0.500  0.500  0.000
Si  0.000  0.500  0.795
Si  0.500  0.000  0.795
Ag  0.000  0.000  0.543
Ag  0.000  0.500  0.273
Ag  0.500  0.000  0.273
Ag  0.500  0.500  0.543

SG: No. 35
DOS at the Fermi energy: 4.79 states/eV/cell
uncorrected formation energy: 125 kJ/mol of formula units

=====

Record 10
The following is a DFT calculation (PBE) of ReSiAg2 after structural relaxation.

abc: 3.666 3.666 20.373
angles: 90.00 90.00 90.00
Fractional positions:
Re  0.000  0.000  0.000
Re  0.000  0.500  0.250
Re  0.500  0.000  0.750
Re  0.500  0.500  0.500
Si  0.000  0.000  0.500
Si  0.000  0.500  0.750
Si  0.500  0.000  0.250
Si  0.500  0.500  0.000
Ag  0.250  0.250  0.125
Ag  0.250  0.250  0.625
Ag  0.250  0.750  0.375
Ag  0.250  0.750  0.875
Ag  0.750  0.250  0.375
Ag  0.750  0.250  0.875
Ag  0.750  0.750  0.125
Ag  0.750  0.750  0.625

SG: No. 122
DOS at the Fermi energy: 10.73 states/eV/cell
uncorrected formation energy: 282 kJ/mol of formula units

=====

Record 11
The following is a DFT calculation (PBE) of ReSi2Ag after structural relaxation.

abc: 2.716 4.014 12.355
angles: 90.00 90.00 90.00
Fractional positions:
Re  0.000  0.000  0.000
Re  0.500  0.500  0.500
Si  0.000  0.000  0.466
Si  0.000  0.500  0.675
Si  0.500  0.000  0.175
Si  0.500  0.500  0.966
Ag  0.000  0.500  0.281
Ag  0.500  0.000  0.781

offset from the most stable computed form: 0.127 eV/atom
SG: No. 44
DOS at the Fermi energy: 4.22 states/eV/cell
uncorrected formation energy: 84 kJ/mol of formula units

=====

Record 12
The following is a DFT calculation (PBE) of ReSi2Ag after structural relaxation.

abc: 3.251 4.463 8.443
angles: 90.00 90.00 90.00
Fractional positions:
Re  0.000  0.000  0.000
Re  0.500  0.500  0.000
Si  0.000  0.000  0.548
Si  0.000  0.500  0.781
Si  0.500  0.000  0.781
Si  0.500  0.500  0.548
Ag  0.000  0.500  0.287
Ag  0.500  0.000  0.287

offset from the most stable computed form: 0.385 eV/atom
SG: No. 35
DOS at the Fermi energy: 3.90 states/eV/cell
uncorrected formation energy: 183 kJ/mol of formula units

=====

Record 13
The following is a DFT calculation (PBE) of ReSiAg2 after structural relaxation.

abc: 3.756 3.756 4.470
angles: 90.00 90.00 90.00
Fractional positions:
Re  0.000  0.000  0.000
Si  0.500  0.500  0.000
Ag  0.000  0.500  0.500
Ag  0.500  0.000  0.500

SG: No. 123
DOS at the Fermi energy: 2.37 states/eV/cell
uncorrected formation energy: 204 kJ/mol of formula units

=====

Record 14
The following is a DFT calculation (PBE) of ReSi2Ag after structural relaxation.

abc: 8.182 3.016 5.188
angles: 90.00 98.06 90.00
Fractional positions:
Re  0.000  0.000  0.000
Re  0.500  0.500  0.000
Si  0.230  0.500  0.186
Si  0.270  0.000  0.814
Si  0.730  0.000  0.186
Si  0.770  0.500  0.814
Ag  0.000  0.500  0.500
Ag  0.500  0.000  0.500

offset from the most stable computed form: 0.082 eV/atom
SG: No. 12
DOS at the Fermi energy: 3.37 states/eV/cell
uncorrected formation energy: 66 kJ/mol of formula units

=====

Record 15
The following is a DFT calculation (PBE) of ReSiAg2 after structural relaxation.

abc: 3.705 3.705 9.396
angles: 90.00 90.00 90.00
Fractional positions:
Re  0.000  0.000  0.000
Re  0.500  0.500  0.500
Si  0.000  0.000  0.500
Si  0.500  0.500  0.000
Ag  0.000  0.500  0.250
Ag  0.000  0.500  0.750
Ag  0.500  0.000  0.250
Ag  0.500  0.000  0.750

SG: No. 139
DOS at the Fermi energy: 6.31 states/eV/cell
uncorrected formation energy: 246 kJ/mol of formula units